## Tl4BrCl3 (PBE-GGA)

Data for a geometry-optimized Tl4BrCl3 structure.

Geometry as POSCAR:
```
Tl4BrCl3
1.0
-1.3616 -2.4938 -2.7123
3.8139 -3.7446 1.5283
-7.0848 -4.1915 7.4105
Tl Br Cl
4 1 3
Cartesian
0.0806 -2.9528 2.6745
0.0000 0.0000 0.0000
-3.5424 -2.0958 3.7053
-3.3514 -4.9833 6.2643
1.2262 -3.1192 -0.5920
-2.4777 -2.3100 0.5233
-2.3162 -5.2150 3.1133
-5.9687 -4.3754 4.1749
```

Summary:
Space-group type: Pmmm (47)
Excess energy over the best structure of this formula in the dataset in meV per atom: 47



## Tl2BrCl (PBE-GGA)

Data for a geometry-optimized Tl2BrCl structure.

Geometry as POSCAR:
```
Tl2BrCl
1.0
-3.5214 2.9501 0.9579
-2.7699 -0.7500 3.7129
2.6115 4.9109 5.8833
Tl Br Cl
2 1 1
Cartesian
-6.2370 2.2459 4.7176
-1.8944 3.5096 5.2303
-2.7599 5.3332 7.9156
-0.9200 1.7777 2.6385
```

Summary:
Space-group type: C2/m (12)
Excess energy over the best structure of this formula in the dataset in meV per atom: 0



## TlBrCl6 (PBE-GGA)

Data for a geometry-optimized TlBrCl6 structure.

Geometry as POSCAR:
```
TlBrCl6
1.0
14.3754 -0.5017 -0.4604
-3.1338 4.5648 -2.0238
-3.0994 -0.8989 4.9329
Br Tl Cl
1 1 6
Cartesian
0.0000 0.0000 0.0000
7.1877 -0.2509 -0.2302
6.2108 2.0688 1.5984
5.9206 3.8069 -0.6325
2.2216 -0.6427 3.0813
2.1995 2.8512 -1.3685
5.9428 0.3130 3.8173
1.9315 1.0954 0.8504
```

Summary:
Raw total energy in eV/atom: -2.022
Space-group type: C2/m (12)



## TlBrCl2 (PBE-GGA)

Data for a geometry-optimized TlBrCl2 structure.

Geometry as POSCAR:
```
TlBrCl2
1.0
-4.0105 -0.4107 -0.6306
0.0669 -6.0784 3.5336
-0.7768 2.0769 3.5874
Cl Br Tl
2 1 1
Cartesian
0.0000 0.0000 0.0000
-1.9718 -3.2446 1.4515
-0.3549 -2.0007 3.5605
-2.3937 0.8331 1.4784
```

Summary:
Space-group type: Pmmm (47)
Excess energy over the best structure of this formula in the dataset in meV per atom: 303



## Tl5BrCl5 (PBE-GGA)

Data for a geometry-optimized Tl5BrCl5 structure.

Geometry as POSCAR:
```
Tl5BrCl5
1.0
-3.3078 5.0320 -1.8724
-6.1988 -5.5600 -3.9911
-0.2998 -1.3039 7.6452
Tl Cl Br
5 5 1
Cartesian
-6.9490 -0.3067 0.8324
-2.8575 -1.5252 0.9492
-1.6539 2.5160 -0.9362
-5.6469 -4.1308 -1.1253
-4.1596 2.2989 2.9069
-4.2754 1.1751 0.0914
-7.6525 -1.8227 -1.9990
-2.1540 -0.0092 3.7806
-5.5311 -3.0070 1.6902
-3.0994 -2.7800 -1.9955
0.0000 0.0000 0.0000
```

Summary:
Raw total energy in eV/atom: -2.949
Space-group type: C2/m (12)



## TlBrCl2 (PBE-GGA)

Data for a geometry-optimized TlBrCl2 structure.

Geometry as POSCAR:
```
TlBrCl2
1.0
-1.3676 5.2544 5.8491
0.1655 1.8010 7.7730
2.8126 4.5488 5.9236
Tl Br Cl
1 1 2
Cartesian
0.4026 2.9010 4.8864
1.2078 8.7031 14.6592
1.5801 11.3852 19.1768
0.8356 6.0210 10.1416
```

Summary:
Space-group type: R-3m (166)
Excess energy over the best structure of this formula in the dataset in meV per atom: 360



## TlBrCl2 (PBE-GGA)

Data for a geometry-optimized TlBrCl2 structure.

Geometry as POSCAR:
```
TlBrCl2
1.0
-5.2032 2.5301 2.9632
1.8732 -2.8869 5.7543
6.2349 9.5735 2.7732
Tl Br Cl
4 4 8
Cartesian
-0.6217 -0.0176 6.0529
-1.2555 4.2691 8.4096
3.5267 9.2343 5.4377
4.1604 4.9477 3.0810
1.6060 7.7954 6.8607
3.4782 7.6523 3.1404
1.2990 1.4213 4.6300
-0.5733 1.5645 8.3503
5.4132 7.9159 6.6495
-0.5612 4.7895 5.9576
-2.5082 1.3008 4.8411
1.6065 4.4524 2.2449
1.2985 4.7643 9.2457
3.4662 4.4273 5.5331
3.7394 8.0130 10.0810
-0.8344 1.2038 1.4096
```

Summary:
Space-group type: Pnna (52)
Excess energy over the best structure of this formula in the dataset in meV per atom: 24



## TlBrCl2 (PBE-GGA)

Data for a geometry-optimized TlBrCl2 structure.

Geometry as POSCAR:
```
TlBrCl2
1.0
9.4341 0.0000 0.0000
0.0000 9.4341 0.0000
4.7171 4.7171 2.8417
Br Cl Tl
2 4 2
Cartesian
4.7171 4.7171 0.0000
4.7171 9.4341 1.4209
7.0756 5.8414 2.1313
8.3098 2.3585 0.7104
10.5584 7.0756 0.7104
11.7926 3.5927 2.1313
0.0000 0.0000 0.0000
9.4341 4.7171 1.4209
```

Summary:
Space-group type: I-42d (122)
Excess energy over the best structure of this formula in the dataset in meV per atom: 234



## Tl3Br2Cl (PBE-GGA)

Data for a geometry-optimized Tl3Br2Cl structure.

Geometry as POSCAR:
```
Tl3Br2Cl
1.0
6.6781 0.0000 0.0000
0.0000 9.4127 0.0024
-3.3391 -2.3549 7.0704
Br Tl Cl
4 6 2
Cartesian
3.3337 -0.0001 2.3856
3.3444 4.7063 2.3868
0.0053 7.0578 4.6873
-0.0053 2.3515 4.6860
3.3283 7.0595 0.0018
0.0038 4.7044 2.2569
3.3428 7.0597 4.8172
-0.0038 -0.0019 2.2556
3.3498 2.3532 0.0006
3.3353 2.3533 4.8160
0.0190 2.3532 0.0006
6.6591 7.0595 0.0018
```

Summary:
Space-group type: C2/c (15)
Excess energy over the best structure of this formula in the dataset in meV per atom: 0



## TlBrCl2 (PBE-GGA)

Data for a geometry-optimized TlBrCl2 structure.

Geometry as POSCAR:
```
TlBrCl2
1.0
7.4837 -0.0703 -0.0430
6.2282 4.1498 -0.0430
6.2282 1.8530 3.7133
Cl Br Tl
2 1 1
Cartesian
0.3118 0.0928 0.0567
4.5584 1.3562 0.8293
15.1505 4.5075 2.7561
9.8894 2.9423 1.7990
```

Summary:
Space-group type: R3m (160)
Excess energy over the best structure of this formula in the dataset in meV per atom: 357



## Tl7Br4Cl4 (PBE-GGA)

Data for a geometry-optimized Tl7Br4Cl4 structure.

Geometry as POSCAR:
```
Tl7Br4Cl4
1.0
7.8211 0.0000 2.1716
3.9105 11.2049 1.0858
0.9127 0.0000 11.8822
Tl Br Cl
14 8 8
Cartesian
1.9654 0.0000 0.5457
7.0125 3.0224 5.0838
1.7214 3.0224 8.9701
5.8556 0.0000 1.6259
6.6916 6.9834 6.2393
2.7811 4.2215 5.1535
3.1019 8.1825 3.9980
6.0611 0.0000 8.5101
7.8211 6.5783 2.1716
5.6319 8.1825 10.0559
2.6727 0.0000 5.5437
3.9105 4.6266 1.0858
5.9527 4.2215 8.9004
9.8632 6.9834 9.9862
7.2656 9.1287 4.1721
9.2893 9.1287 12.0534
5.3787 2.0762 10.9676
3.3551 2.0762 3.0863
7.8211 2.8492 2.1716
1.6750 0.0000 9.1369
7.0588 0.0000 4.9169
3.9105 8.3557 1.0858
8.2774 8.8132 8.1128
7.4184 5.6024 11.2064
9.1364 5.6024 5.0191
5.2259 5.6024 3.9333
4.3669 2.3917 7.0269
3.5079 5.6024 10.1206
8.2774 2.3917 8.1128
4.3669 8.8132 7.0269
```

Summary:
Raw total energy in eV/atom: -2.875
Space-group type: I4/mmm (139)



## TlBrCl2 (PBE-GGA)

Data for a geometry-optimized TlBrCl2 structure.

Geometry as POSCAR:
```
TlBrCl2
1.0
5.3368 0.0409 0.0000
-0.0523 5.3382 0.0000
0.0000 0.0000 3.9232
Cl Tl Br
2 1 1
Cartesian
2.6423 2.6896 0.0000
0.0000 0.0000 0.0000
2.6684 0.0205 1.9616
-0.0262 2.6691 1.9616
```

Summary:
Space-group type: Cmmm (65)
Excess energy over the best structure of this formula in the dataset in meV per atom: 459



## Tl5BrCl4 (PBE-GGA)

Data for a geometry-optimized Tl5BrCl4 structure.

Geometry as POSCAR:
```
Tl5BrCl4
1.0
14.0963 0.0081 0.0000
-13.0061 5.4359 0.0000
0.0000 0.0000 3.9210
Br Cl Tl
1 4 5
Cartesian
0.5451 2.7220 1.9605
-4.9078 3.8141 1.9605
11.3382 0.5605 1.9605
-10.2479 4.8835 1.9605
5.9981 1.6300 1.9605
8.6711 1.0947 0.0000
-2.2649 3.2848 0.0000
3.3552 2.1593 0.0000
-7.5808 4.3494 0.0000
0.0000 0.0000 0.0000
```

Summary:
Space-group type: Cmmm (65)
Excess energy over the best structure of this formula in the dataset in meV per atom: 48



## Tl3Br2Cl (PBE-GGA)

Data for a geometry-optimized Tl3Br2Cl structure.

Geometry as POSCAR:
```
Tl3Br2Cl
1.0
4.8161 -0.0002 -1.0970
-0.2496 4.8096 -1.0981
-0.1759 -0.1851 10.3423
Tl Br Cl
3 2 1
Cartesian
4.1101 4.3411 6.9859
1.1450 1.2097 5.0779
2.6912 2.8382 0.7478
3.4071 3.5950 3.8922
0.4274 0.4565 1.9338
1.8271 1.9362 8.0839
```

Summary:
Space-group type: Fmm2 (42)
Excess energy over the best structure of this formula in the dataset in meV per atom: 24



## Tl2BrCl (PBE-GGA)

Data for a geometry-optimized Tl2BrCl structure.

Geometry as POSCAR:
```
Tl2BrCl
1.0
8.8995 -0.0941 -0.0568
7.7051 4.4543 -0.0568
7.7051 2.0233 3.9687
Tl Br Cl
2 1 1
Cartesian
5.8985 1.5489 0.9354
0.3117 0.0819 0.0494
12.6525 3.3224 2.0064
17.6019 4.6220 2.7913
```

Summary:
Space-group type: R3m (160)
Excess energy over the best structure of this formula in the dataset in meV per atom: 159



## Tl3BrCl2 (PBE-GGA)

Data for a geometry-optimized Tl3BrCl2 structure.

Geometry as POSCAR:
```
Tl3BrCl2
1.0
-3.7991 4.1312 -3.4773
-7.5499 -4.7923 2.5553
3.0921 3.2227 6.7185
Cl Br Tl
4 2 6
Cartesian
-6.1324 -0.8503 5.6736
-2.3476 1.5351 4.4049
-2.1246 3.4118 0.1229
-5.9094 1.0264 1.3915
-1.8885 -1.1970 0.6379
-9.4606 0.5359 -1.5599
-4.2355 3.5314 2.5704
-0.2372 1.4161 1.9570
-3.7871 0.8676 -1.0999
-8.0198 1.1454 3.8395
-7.5619 -1.5287 0.1779
-4.0215 -0.9699 3.2260
```

Summary:
Raw total energy in eV/atom: -3.039
Space-group type: C2/c (15)



## Tl2BrCl2 (PBE-GGA)

Data for a geometry-optimized Tl2BrCl2 structure.

Geometry as POSCAR:
```
Tl2BrCl2
1.0
-2.9938 2.7057 2.5068
2.4210 -0.9943 3.9645
3.8255 6.4352 2.1240
Tl Br Cl
2 1 2
Cartesian
0.7405 2.2492 2.9580
2.5122 5.8975 5.6373
0.0000 0.0000 0.0000
2.9800 3.1483 4.6621
0.2726 4.9983 3.9332
```

Summary:
Space-group type: I4/mmm (139)
Excess energy over the best structure of this formula in the dataset in meV per atom: 74



## TlBrCl2 (PBE-GGA)

Data for a geometry-optimized TlBrCl2 structure.

Geometry as POSCAR:
```
TlBrCl2
1.0
1.4459 -4.7844 -2.0147
1.3598 -4.0216 3.3192
-3.2607 -4.2542 0.5557
Tl Br Cl
1 1 2
Cartesian
-0.2275 -6.5301 0.9302
0.0000 0.0000 0.0000
-0.3413 -9.7952 1.3952
-0.1138 -3.2651 0.4651
```

Summary:
Space-group type: Fm-3m (225)
Excess energy over the best structure of this formula in the dataset in meV per atom: 474



## Tl2BrCl (PBE-GGA)

Data for a geometry-optimized Tl2BrCl structure.

Geometry as POSCAR:
```
Tl2BrCl
1.0
3.9615 0.0000 0.0000
0.0000 3.9648 0.0494
0.0000 3.7516 7.9614
Tl Br Cl
2 1 1
Cartesian
0.0000 3.9390 4.0767
0.0000 7.6357 7.9396
1.9807 1.9291 2.0027
1.9807 5.7873 6.0081
```

Summary:
Space-group type: P2/m (10)
Excess energy over the best structure of this formula in the dataset in meV per atom: 47



## TlBrCl3 (PBE-GGA)

Data for a geometry-optimized TlBrCl3 structure.

Geometry as POSCAR:
```
TlBrCl3
1.0
5.3558 0.0000 0.0000
0.0000 5.3558 0.0000
0.0000 0.0000 5.3558
Cl Br Tl
3 1 1
Cartesian
0.0000 0.0000 2.6779
0.0000 2.6779 0.0000
2.6779 0.0000 0.0000
0.0000 0.0000 0.0000
2.6779 2.6779 2.6779
```

Summary:
Space-group type: Pm-3m (221)
Excess energy over the best structure of this formula in the dataset in meV per atom: 216



## Tl2BrCl (PBE-GGA)

Data for a geometry-optimized Tl2BrCl structure.

Geometry as POSCAR:
```
Tl2BrCl
1.0
-0.9037 1.2971 -5.3218
-1.1231 -4.0018 -3.6803
-5.1031 -0.4514 -2.1391
Cl Br Tl
1 1 2
Cartesian
-5.3474 -2.3672 -8.3560
-3.5650 -1.5781 -5.5707
-1.7825 -0.7891 -2.7853
0.0000 0.0000 0.0000
```

Summary:
Space-group type: F-43m (216)
Excess energy over the best structure of this formula in the dataset in meV per atom: 335



## Tl4BrCl3 (PBE-GGA)

Data for a geometry-optimized Tl4BrCl3 structure.

Geometry as POSCAR:
```
Tl4BrCl3
1.0
6.5430 0.0000 0.0000
0.0000 9.4308 0.0000
0.0000 0.0000 11.1622
Br Tl Cl
2 8 6
Cartesian
3.6936 7.8618 5.5811
0.4221 1.5690 0.0000
0.4166 7.7378 0.0000
3.6939 6.2668 8.4496
0.4224 3.1640 8.2937
3.6939 6.2668 2.7126
0.4224 3.1640 2.8685
0.4224 7.8512 5.5811
3.6940 1.5796 0.0000
3.6881 1.6930 5.5811
0.4270 6.2974 8.3517
0.4270 6.2974 2.8105
3.6985 3.1334 2.7706
0.4115 1.5780 5.5811
3.6830 7.8528 0.0000
3.6985 3.1334 8.3916
```

Summary:
Space-group type: Pmn2_1 (31)
Excess energy over the best structure of this formula in the dataset in meV per atom: 30



## Tl2BrCl (PBE-GGA)

Data for a geometry-optimized Tl2BrCl structure.

Geometry as POSCAR:
```
Tl2BrCl
1.0
7.3740 0.0000 0.0000
0.0000 7.3740 0.0000
3.6870 3.6870 7.1988
Cl Br Tl
2 2 4
Cartesian
3.6870 7.3740 3.5994
3.6870 3.6870 0.0000
7.3740 3.6870 3.5994
0.0000 0.0000 0.0000
5.5305 5.6407 5.3991
9.2175 9.1073 5.3991
5.4203 1.8435 1.7997
1.9537 5.5305 1.7997
```

Summary:
Space-group type: I-42d (122)
Excess energy over the best structure of this formula in the dataset in meV per atom: 66



## Tl8Br3Cl4 (PBE-GGA)

Data for a geometry-optimized Tl8Br3Cl4 structure.

Geometry as POSCAR:
```
Tl8Br3Cl4
1.0
-7.1048 2.8176 -5.1852
-1.0821 -7.0939 5.8636
3.0183 5.2976 6.9787
Tl Br Cl
8 3 4
Cartesian
-3.1168 0.9804 0.5667
-0.0509 -3.9777 6.1440
1.4024 -1.3310 9.6346
-1.5454 3.6502 4.1110
-3.6232 -2.6289 3.5460
-2.0518 0.0409 7.0903
1.9871 2.1815 6.6983
-6.5711 2.3523 -1.9775
-2.5843 0.5106 3.8285
-4.0935 -2.1382 0.3392
-2.0433 4.0576 0.8967
0.0000 0.0000 0.0000
-3.5524 1.4088 -2.5926
1.5091 2.6488 3.4893
-0.5410 -3.5469 2.9318
```

Summary:
Raw total energy in eV/atom: -2.902
Space-group type: C2/m (12)



| no. | total magnetic moment (μB/f.u.) | ρ (Mg/m³) |
| --- | --- | --- |
| 1 | 0.00 | 6.9 |
| 2 | 0.00 | 6.0 |
| 3 | 0.00 | 3.0 |
| 4 | 0.00 | 4.9 |
| 5 | 0.00 | 5.4 |
| 6 | 0.23 | 5.0 |
| 7 | 0.00 | 4.6 |
| 8 | 0.00 | 4.7 |
| 9 | 0.00 | 6.0 |
| 10 | 0.00 | 5.0 |
| 11 | 0.00 | 6.2 |
| 12 | 1.99 | 5.3 |
| 13 | 0.00 | 6.9 |
| 14 | 0.00 | 5.6 |
| 15 | 0.00 | 5.4 |
| 16 | 0.00 | 5.9 |
| 17 | 0.00 | 5.9 |
| 18 | 1.99 | 5.3 |
| 19 | 0.00 | 7.0 |
| 20 | 0.00 | 4.2 |
| 21 | 0.00 | 7.2 |
| 22 | 0.00 | 4.8 |
| 23 | 0.00 | 4.4 |
| 24 | 0.17 | 6.0 |